Density functional theory data (PBE-GGA) for a relaxed structure of BaPtSe2.

Lattice parameters (Å, degrees): 5.1622 5.1622 5.1622 60.00 60.00 60.00
Last column: nearest neighbours and their distance in Å.
Fractional coordinates of all 4 atoms:
Se (0.7500, 0.7500, 0.7500)  4 Pt 3.16, 4 Ba 3.16
Ba (0.0000, 0.0000, 0.0000)  8 Se 3.16
Pt (0.5000, 0.5000, 0.5000)  8 Se 3.16
Se (0.2500, 0.2500, 0.2500)  4 Ba 3.16, 4 Pt 3.16

Results
The symmetry is Fm-3m. As for the magnetization: 0.00 μB per formula unit. The total energy is -4.12 eV/atom. For the energy above the lowest structure with this stoichiometry, the calculation gives 681.6 meV per atom. The value obtained for the formation energy without anion corrections is -0.392 eV/atom.

=====

Density functional theory data (PBE-GGA) for a relaxed structure of P2Pd2Rh.

Lattice parameters (Å, degrees): 5.9660 5.9660 4.2723 90.00 90.00 90.00
Last column: nearest neighbours and their distance in Å.
Fractional coordinates of all 10 atoms:
P (0.8703, 0.6297, 0.0000)  1 P 2.19, 2 Rh 2.34, 2 Pd 2.35
Pd (0.7450, 0.2450, 0.5000)  2 P 2.35
Pd (0.2550, 0.7550, 0.5000)  2 P 2.35
Pd (0.2450, 0.2550, 0.5000)  2 P 2.35
Rh (0.5000, 0.5000, 0.0000)  4 P 2.34
P (0.6297, 0.1297, 0.0000)  1 P 2.19, 2 Rh 2.34, 2 Pd 2.35
Pd (0.7550, 0.7450, 0.5000)  2 P 2.35
Rh (0.0000, 0.0000, 0.0000)  4 P 2.34
P (0.1297, 0.3703, 0.0000)  1 P 2.19, 2 Rh 2.34, 2 Pd 2.35
P (0.3703, 0.8703, 0.0000)  1 P 2.19, 2 Rh 2.34, 2 Pd 2.35

Results
The calculation puts the formation energy at -0.45 eV per atom. The symmetry is P4/mbm. As for the magnetization: 0.00 μB per formula unit. The total energy is -6.16 eV/atom.

=====

Density functional theory data (PBE-GGA) for a relaxed structure of CeZnN.

Lattice parameters (Å, degrees): 4.1730 4.1730 4.5441 117.33 117.33 90.00
Last column: nearest neighbours and their distance in Å.
Fractional coordinates of all 3 atoms:
N (0.9410, 0.9410, 0.8820)  1 Zn 1.93, 1 Ce 2.11
Ce (0.2468, 0.2468, 0.4937)  1 N 2.11
Zn (0.6622, 0.6622, 0.3244)  1 N 1.93

Results
The symmetry is I4mm. As for the magnetization: 0.48 μB per formula unit. The total energy is -5.15 eV/atom. For the energy above the lowest structure with this stoichiometry, the calculation gives 859.3 meV per atom. The value obtained for the formation energy without anion corrections is 0.032 eV/atom.

=====

Density functional theory data (PBE-GGA) for a relaxed structure of BeRu2Au.

Lattice parameters (Å, degrees): 2.7774 4.4254 4.6136 90.00 90.00 90.00
Last column: nearest neighbours and their distance in Å.
Fractional coordinates of all 4 atoms:
Au (0.5000, 0.0000, 0.5000)  4 Be 2.61, 4 Ru 2.69, 2 Au 2.78
Ru (0.0000, 0.0000, 0.0000)  6 Ru 2.61-2.78, 4 Au 2.69
Be (0.0000, 0.5000, 0.5000)  4 Au 2.61, 4 Ru 2.69, 2 Be 2.78
Ru (0.5000, 0.5000, 0.0000)  6 Ru 2.61-2.78, 4 Be 2.69

Results
The calculation puts the formation energy at 0.37 eV per atom. The symmetry is Pmmm. As for the magnetization: 0.46 μB per formula unit. The total energy is -6.02 eV/atom.

=====

Density functional theory data (PBE-GGA) for a relaxed structure of K4PmEr3Te8.

Lattice parameters (Å, degrees): 8.9945 9.7480 8.9957 117.52 120.00 90.00
Last column: nearest neighbours and their distance in Å.
Fractional coordinates of all 16 atoms:
K (0.0000, 0.0000, 0.5000)  6 Te 3.55-3.56
Pm (0.0000, 0.5000, 0.0000)  6 Te 3.16
Er (0.0000, 0.5000, 0.5000)  6 Te 3.10
Er (0.5000, 0.5000, 0.0000)  6 Te 3.10
Te (0.7296, 0.7093, 0.9696)  2 Er 3.10, 1 Pm 3.16
Te (0.7600, 0.2907, 0.0304)  2 Er 3.10, 1 Pm 3.16
Te (0.2400, 0.7093, 0.4799)  2 Er 3.10, 1 Pm 3.16
Te (0.2400, 0.7093, 0.9696)  2 Er 3.10, 1 Pm 3.16
Te (0.7354, 0.7059, 0.4708)  3 Er 3.10
Te (0.2646, 0.2941, 0.5292)  3 Er 3.10
Er (0.5000, 0.5000, 0.5000)  6 Te 3.10
K (0.5000, 0.0000, 0.5000)  6 Te 3.55-3.56
K (0.0000, 0.0000, 0.0000)  6 Te 3.55-3.56
K (0.5000, 0.0000, 0.0000)  6 Te 3.49-3.50
Te (0.7600, 0.2907, 0.5201)  2 Er 3.10, 1 Pm 3.16
Te (0.2704, 0.2907, 0.0304)  2 Er 3.10, 1 Pm 3.16

Results
The symmetry is R-3m. As for the magnetization: 0.00 μB per formula unit. The total energy is -4.39 eV/atom. The value obtained for the formation energy without anion corrections is -1.389 eV/atom.

=====

Density functional theory data (PBE-GGA) for a relaxed structure of Zn2IrRh.

Lattice parameters (Å, degrees): 6.8370 6.8370 5.5139 51.69 51.69 90.00
Last column: nearest neighbours and their distance in Å.
Fractional coordinates of all 8 atoms:
Zn (0.1260, 0.6250, 0.2500)  2 Rh 2.50, 2 Ir 2.51, 2 Zn 2.65
Ir (0.0000, 0.0000, 0.0000)  4 Zn 2.51, 2 Rh 2.65
Rh (0.2500, 0.7500, 0.5000)  4 Zn 2.50, 2 Ir 2.65
Zn (0.8750, 0.8740, 0.7500)  2 Rh 2.50, 2 Ir 2.51, 2 Zn 2.65
Zn (0.6240, 0.1250, 0.2500)  2 Rh 2.50, 2 Ir 2.51, 2 Zn 2.65
Ir (0.7500, 0.2500, 0.5000)  4 Zn 2.51, 2 Rh 2.65
Zn (0.3750, 0.3760, 0.7500)  2 Rh 2.50, 2 Ir 2.51, 2 Zn 2.65
Rh (0.5000, 0.5000, 0.0000)  4 Zn 2.50, 2 Ir 2.65

Results
The calculation puts the formation energy at 0.26 eV per atom. The symmetry is I-42d. As for the magnetization: 0.00 μB per formula unit. The total energy is -4.43 eV/atom.

=====

Density functional theory data (PBE-GGA) for a relaxed structure of RuCSeN.

Lattice parameters (Å, degrees): 6.4498 3.0093 6.7438 90.00 101.98 90.00
Last column: nearest neighbours and their distance in Å.
Fractional coordinates of all 8 atoms:
C (0.2430, 0.5000, 0.1301)  1 N 1.21
N (0.1303, 0.5000, 0.9634)  1 C 1.21
Ru (0.4248, 0.0000, 0.3318)  2 C 2.20, 1 N 2.26
Se (0.6559, 0.5000, 0.1855)  3 Ru 2.46-2.54, 1 C 2.61
C (0.2430, 0.0000, 0.6301)  1 N 1.21
Ru (0.4248, 0.5000, 0.8318)  2 C 2.20, 1 N 2.26
Se (0.6559, 0.0000, 0.6855)  3 Ru 2.46-2.54, 1 C 2.61
N (0.1303, 0.0000, 0.4634)  1 C 1.21

Results
The symmetry is Cm. As for the magnetization: 0.00 μB per formula unit. The total energy is -7.03 eV/atom. For the energy above the lowest structure with this stoichiometry, the calculation gives 289.7 meV per atom. The value obtained for the formation energy without anion corrections is 0.551 eV/atom.

=====

Density functional theory data (PBE-GGA) for a relaxed structure of Zr3InCo.

Lattice parameters (Å, degrees): 3.3695 5.7661 11.3078 102.44 90.00 106.99
Last column: nearest neighbours and their distance in Å.
Fractional coordinates of all 10 atoms:
Zr (0.7838, 0.5675, 0.2601)  2 Co 2.56
Co (0.5894, 0.1789, 0.5917)  1 Co 2.52, 6 Zr 2.56-2.80
In (0.1496, 0.2993, 0.0351)  5 In 3.03-3.37, 6 Zr 3.10-3.16
In (0.8504, 0.7007, 0.9649)  5 In 3.03-3.37, 6 Zr 3.10-3.16
Zr (0.8830, 0.7660, 0.5756)  4 Co 2.60-2.80
Zr (0.4911, 0.9823, 0.1827)  1 Co 2.88, 4 In 3.10-3.16, 3 Zr 3.12-3.15
Zr (0.5089, 0.0177, 0.8173)  1 Co 2.88, 4 In 3.10-3.16, 3 Zr 3.12-3.15
Zr (0.2162, 0.4325, 0.7399)  2 Co 2.56
Zr (0.1170, 0.2340, 0.4244)  4 Co 2.60-2.80
Co (0.4106, 0.8211, 0.4083)  1 Co 2.52, 6 Zr 2.56-2.80

Results
The calculation puts the formation energy at -0.24 eV per atom. The symmetry is C2/m. As for the magnetization: 0.00 μB per formula unit. The total energy is -7.33 eV/atom. For the energy above the lowest structure with this stoichiometry, the calculation gives 0.0 meV per atom.

=====

Density functional theory data (PBE-GGA) for a relaxed structure of Be2TlI.

Lattice parameters (Å, degrees): 4.9401 4.9401 4.9401 60.00 60.00 60.00
Last column: nearest neighbours and their distance in Å.
Fractional coordinates of all 4 atoms:
I (0.0000, 0.0000, 0.0000)  8 Be 3.03
Tl (0.5000, 0.5000, 0.5000)  8 Be 3.03
Be (0.2500, 0.2500, 0.2500)  4 Tl 3.03, 4 I 3.03
Be (0.7500, 0.7500, 0.7500)  4 Tl 3.03, 4 I 3.03

Results
The symmetry is Fm-3m. As for the magnetization: 0.00 μB per formula unit. The total energy is -1.72 eV/atom. For the energy above the lowest structure with this stoichiometry, the calculation gives 450.2 meV per atom. The value obtained for the formation energy without anion corrections is 1.123 eV/atom.

=====

Density functional theory data (PBE-GGA) for a relaxed structure of InTcPt2.

Lattice parameters (Å, degrees): 4.8499 4.8499 5.0154 81.71 81.71 34.46
Last column: nearest neighbours and their distance in Å.
Fractional coordinates of all 4 atoms:
Pt (0.0047, 0.0047, 0.9851)  6 Pt 2.77-3.01, 3 Tc 2.79, 3 In 2.80-2.91
Pt (0.4953, 0.4953, 0.5149)  6 Pt 2.77-3.01, 3 Tc 2.79, 3 In 2.80-2.91
Tc (0.7500, 0.7500, 0.7500)  6 Pt 2.79, 2 Tc 2.87, 4 In 2.89
In (0.2500, 0.2500, 0.2500)  6 Pt 2.80-2.91, 2 In 2.87, 4 Tc 2.89

Results
The calculation puts the formation energy at -0.03 eV per atom. The symmetry is C2/m. As for the magnetization: 0.00 μB per formula unit. The total energy is -6.33 eV/atom.

=====

Density functional theory data (PBE-GGA) for a relaxed structure of Sm6Dy3YTh2.

Lattice parameters (Å, degrees): 6.2204 6.2204 11.9454 94.99 94.99 119.93
Last column: nearest neighbours and their distance in Å.
Fractional coordinates of all 12 atoms:
Sm (0.4200, 0.0831, 0.2485)  6 Sm 3.57-3.64, 2 Th 3.58, 1 Y 3.60, 3 Dy 3.60-3.62
Sm (0.2541, 0.2541, 0.7510)  6 Sm 3.57-3.64, 2 Th 3.58, 3 Dy 3.60-3.61, 1 Y 3.60
Sm (0.9169, 0.5800, 0.7515)  6 Sm 3.57-3.64, 2 Th 3.58, 1 Y 3.60, 3 Dy 3.60-3.62
Dy (0.1667, 0.8333, 0.5000)  6 Dy 3.59, 6 Sm 3.60-3.62
Th (0.3336, 0.6664, 0.0000)  6 Sm 3.58, 3 Th 3.59-3.60, 3 Y 3.59
Sm (0.0831, 0.4200, 0.2485)  6 Sm 3.57-3.64, 2 Th 3.58, 1 Y 3.60, 3 Dy 3.60-3.62
Dy (0.5000, 0.5000, 0.5000)  6 Dy 3.59, 6 Sm 3.60-3.62
Th (0.6664, 0.3336, 0.0000)  6 Sm 3.58, 3 Th 3.59-3.60, 3 Y 3.59
Sm (0.5800, 0.9169, 0.7515)  6 Sm 3.57-3.64, 2 Th 3.58, 1 Y 3.60, 3 Dy 3.60-3.62
Y (0.0000, 0.0000, 0.0000)  6 Th 3.59, 6 Sm 3.60
Dy (0.8333, 0.1667, 0.5000)  6 Dy 3.59, 6 Sm 3.60-3.62
Sm (0.7459, 0.7459, 0.2490)  6 Sm 3.57-3.64, 2 Th 3.58, 3 Dy 3.60-3.61, 1 Y 3.60

Results
The calculation puts the formation energy at 0.03 eV per atom. The symmetry is C2/m. As for the magnetization: 0.00 μB per formula unit. The total energy is -5.25 eV/atom.

=====

Density functional theory data (PBE-GGA) for a relaxed structure of RbPuSiSe4.

Lattice parameters (Å, degrees): 6.7628 6.9521 9.5050 90.00 108.47 90.00
Last column: nearest neighbours and their distance in Å.
Fractional coordinates of all 14 atoms:
Se (0.4175, 0.7500, 0.5713)  1 Si 2.28
Se (0.0107, 0.5064, 0.7098)  1 Si 2.30
Se (0.5825, 0.2500, 0.4287)  1 Si 2.28
Rb (0.7428, 0.7500, 0.9383)  8 Se 3.49-3.69
Se (0.4066, 0.7500, 0.1714)  1 Si 2.27
Rb (0.2572, 0.2500, 0.0617)  8 Se 3.49-3.69
Se (0.9893, 0.0064, 0.2902)  1 Si 2.30
Si (0.7857, 0.2500, 0.6712)  4 Se 2.27-2.30
Pu (0.7682, 0.7500, 0.4482)  6 Se 2.96-3.03
Pu (0.2318, 0.2500, 0.5518)  6 Se 2.96-3.03
Se (0.9893, 0.4936, 0.2902)  1 Si 2.30
Se (0.0107, 0.9936, 0.7098)  1 Si 2.30
Si (0.2143, 0.7500, 0.3288)  4 Se 2.27-2.30
Se (0.5934, 0.2500, 0.8286)  1 Si 2.27

Results
The symmetry is P2_1/m. As for the magnetization: 5.00 μB per formula unit. The total energy is -6.00 eV/atom. The value obtained for the formation energy without anion corrections is -1.052 eV/atom.